1.
Computed, not measured: a relaxed structure of TlCo2Se at the GGA-PBEsol level of DFT.

Summary:
As for the space-group type: F-43m (216). As for the energy above the most stable polymorph in this dataset: 2.32 eV per formula unit.

a b c (Å): 4.4914 4.4914 4.4914
angles (deg): 60.00 60.00 60.00
Last column: nearest neighbours and their distance in Å.
Atoms (fractional coordinates):
Tl 0.0000 0.0000 0.0000  4 Se 2.75, 4 Co 2.75
Co 0.2500 0.2500 0.2500  4 Co 2.75, 4 Tl 2.75
Co 0.5000 0.5000 0.5000  4 Se 2.75, 4 Co 2.75
Se 0.7500 0.7500 0.7500  4 Tl 2.75, 4 Co 2.75

2.
Computed, not measured: a relaxed structure of TlCo2Se at the GGA-PBEsol level of DFT.

Summary:
As for the space-group type: Fm-3m (225). As for the energy above the most stable polymorph in this dataset: 1.18 eV per formula unit.

a b c (Å): 4.3990 4.3990 4.3990
angles (deg): 60.00 60.00 60.00
Last column: nearest neighbours and their distance in Å.
Atoms (fractional coordinates):
Tl 0.0000 0.0000 0.0000  8 Co 2.69
Co 0.2500 0.2500 0.2500  4 Tl 2.69, 4 Se 2.69
Co 0.7500 0.7500 0.7500  4 Se 2.69, 4 Tl 2.69
Se 0.5000 0.5000 0.5000  8 Co 2.69

3.
Computed, not measured: a relaxed structure of TlCo2Se2 at the GGA-PBEsol level of DFT.

Summary:
As for the space-group type: I4/mmm (139).

a b c (Å): 7.0945 7.0945 7.0945
angles (deg): 149.16 149.16 44.18
Last column: nearest neighbours and their distance in Å.
Atoms (fractional coordinates):
Tl 0.0000 0.0000 0.0000  8 Se 3.31
Co 0.2500 0.7500 0.5000  4 Se 2.30
Co 0.7500 0.2500 0.5000  4 Se 2.30
Se 0.3505 0.3505 0.0000  4 Co 2.30
Se 0.6495 0.6495 0.0000  4 Co 2.30

4.
Computed, not measured: a relaxed structure of TlCo2Se at the GGA-PBEsol level of DFT.

Summary:
As for the space-group type: Immm (71). As for the energy above the most stable polymorph in this dataset: 1.16 eV per formula unit.

a b c (Å): 4.5913 4.5913 4.5913
angles (deg): 132.15 112.70 86.73
Last column: nearest neighbours and their distance in Å.
Atoms (fractional coordinates):
Tl 0.0000 0.0000 0.0000  8 Co 2.72-2.88
Co 0.2975 0.7975 0.5000  2 Se 2.30
Co 0.7025 0.2025 0.5000  2 Se 2.30
Se 0.5000 0.5000 0.0000  4 Co 2.30

5.
Computed, not measured: a relaxed structure of TlCoSe at the GGA-PBEsol level of DFT.

Summary:
As for the space-group type: F-43m (216).

a b c (Å): 4.5925 4.5925 4.5925
angles (deg): 60.00 60.00 60.00
Last column: nearest neighbours and their distance in Å.
Atoms (fractional coordinates):
Tl 0.0000 0.0000 0.0000  4 Se 2.81, 4 Co 2.81
Co 0.7500 0.7500 0.7500  4 Tl 2.81
Se 0.2500 0.2500 0.2500  4 Tl 2.81

6.
Computed, not measured: a relaxed structure of TlCo2Se at the GGA-PBEsol level of DFT.

Summary:
As for the space-group type: Imm2 (44). As for the energy above the most stable polymorph in this dataset: 0.10 eV per formula unit.

a b c (Å): 6.3984 6.3984 6.3984
angles (deg): 152.07 149.70 41.67
Last column: nearest neighbours and their distance in Å.
Atoms (fractional coordinates):
Tl 0.0000 0.0000 0.0000  6 Co 2.75-2.76
Co 0.1914 0.6914 0.5000  4 Se 2.36
Co 0.3707 0.3707 0.0000  2 Se 2.26
Se 0.7432 0.2432 0.5000  6 Co 2.26-2.36

7.
Computed, not measured: a relaxed structure of CoWSe2 at the GGA-PBEsol level of DFT.

Summary:
As for the space-group type: R-3m (166).

a b c (Å): 7.4457 7.4457 7.4457
angles (deg): 24.07 24.07 24.07
Last column: nearest neighbours and their distance in Å.
Atoms (fractional coordinates):
Co 0.0000 0.0000 0.0000  6 Se 2.50
W 0.5000 0.5000 0.5000  6 Se 2.59
Se 0.2530 0.2530 0.2530  3 Co 2.50, 3 W 2.59
Se 0.7470 0.7470 0.7470  3 Co 2.50, 3 W 2.59

8.
Computed, not measured: a relaxed structure of CoWSe4 at the GGA-PBEsol level of DFT.

Summary:
As for the space-group type: F-43m (216).

a b c (Å): 5.3319 5.3319 5.3319
angles (deg): 60.00 60.00 60.00
Last column: nearest neighbours and their distance in Å.
Atoms (fractional coordinates):
Co 0.0000 0.0000 0.0000  12 Se 3.13, 4 W 3.27
W 0.2500 0.2500 0.2500  12 Se 3.13, 4 Co 3.27
Se 0.1243 0.6252 0.6252  6 Se 2.66-2.67
Se 0.6252 0.1243 0.6252  6 Se 2.66-2.67
Se 0.6252 0.6252 0.1243  6 Se 2.66-2.67
Se 0.6252 0.6252 0.6252  6 Se 2.66-2.67

9.
Computed, not measured: a relaxed structure of YCo2Se2 at the GGA-PBEsol level of DFT.

Summary:
As for the space-group type: I4/mmm (139).

a b c (Å): 6.2296 6.2296 6.2296
angles (deg): 144.83 144.83 50.58
Last column: nearest neighbours and their distance in Å.
Atoms (fractional coordinates):
Y 0.0000 0.0000 0.0000  8 Se 3.05, 8 Co 3.39
Co 0.2500 0.7500 0.5000  4 Se 2.31
Co 0.7500 0.2500 0.5000  4 Se 2.31
Se 0.3684 0.3684 0.0000  4 Co 2.31
Se 0.6316 0.6316 0.0000  4 Co 2.31

10.
Computed, not measured: a relaxed structure of Zn2CoSe at the GGA-PBEsol level of DFT.

Summary:
As for the space-group type: Imm2 (44).

a b c (Å): 6.0692 6.0692 6.0692
angles (deg): 154.02 141.10 47.38
Last column: nearest neighbours and their distance in Å.
Atoms (fractional coordinates):
Zn 0.0000 0.0000 0.0000  4 Co 2.46, 4 Zn 2.68-2.73
Zn 0.6580 0.1580 0.5000  2 Co 2.48, 4 Zn 2.68-2.73
Co 0.4720 0.4720 0.0000  2 Se 2.31, 6 Zn 2.46-2.48
Se 0.3041 0.8041 0.5000  2 Co 2.31

11.
Computed, not measured: a relaxed structure of ZnCo2Se at the GGA-PBEsol level of DFT.

Summary:
As for the space-group type: C2/m (12). As for the energy above the most stable polymorph in this dataset: 0.16 eV per formula unit.

a b c (Å): 4.0168 4.0168 4.7692
angles (deg): 100.47 100.47 41.66
Last column: nearest neighbours and their distance in Å.
Atoms (fractional coordinates):
Zn 0.0000 0.0000 0.0000  6 Co 2.46-2.52
Co 0.2469 0.2469 0.7291  3 Se 2.37-2.43, 3 Zn 2.46-2.52, 2 Co 2.62
Co 0.7531 0.7531 0.2709  3 Se 2.37-2.43, 3 Zn 2.46-2.52, 2 Co 2.62
Se 0.5000 0.5000 0.5000  6 Co 2.37-2.43

12.
Computed, not measured: a relaxed structure of Zn2CoSe at the GGA-PBEsol level of DFT.

Summary:
As for the space-group type: Immm (71).

a b c (Å): 4.8835 4.8835 4.8835
angles (deg): 136.60 136.44 63.18
Last column: nearest neighbours and their distance in Å.
Atoms (fractional coordinates):
Zn 0.2501 0.2501 0.0000  4 Zn 2.56, 4 Co 2.75-2.76, 4 Se 2.76
Zn 0.7499 0.7499 0.0000  4 Zn 2.56, 4 Co 2.75-2.76, 4 Se 2.76
Co 0.5000 0.0000 0.5000  4 Se 2.56, 8 Zn 2.75-2.76
Se 0.0000 0.5000 0.5000  4 Co 2.56, 8 Zn 2.76

| no. | total magnetization (Bohr magnetons per cell) | E_form (uncorrected) (eV per atom) |
| --- | --- | --- |
| 1 | 2.94 | 0.775 |
| 2 | 2.72 | 0.489 |
| 3 | 1.68 | -0.234 |
| 4 | 2.22 | 0.484 |
| 5 | 1.81 | 0.892 |
| 6 | 0.00 | 0.219 |
| 7 | 1.16 | 0.173 |
| 8 | 2.77 | 1.523 |
| 9 | 1.49 | -0.695 |
| 10 | 0.00 | -0.078 |
| 11 | 1.23 | 0.146 |
| 12 | 0.00 | 0.142 |